No. 1
! PaTlHg PBE-GGA relaxed; values from VASP
! Total moment in μB per formula unit: 0.9
! Crystal system: cubic
! Energy above the most stable polymorph in this dataset in meV per atom: 125.5
! ρ in Mg/m³: 11.26
&SYSTEM
  ibrav = 0, nat = 3, ntyp = 3
/
ATOMIC_SPECIES
Pa 231.04 Pa.upf
Tl 204.38 Tl.upf
Hg 200.59 Hg.upf
ATOMIC_POSITIONS angstrom
Pa 0.000 0.000 0.000
Tl 1.803 1.803 1.803
Hg 5.410 5.410 5.410
CELL_PARAMETERS angstrom
0.000 3.606 3.606
3.606 0.000 3.606
3.606 3.606 0.000

---

No. 2
! PuReHg PBE-GGA relaxed; values from VASP
! Total moment in μB per formula unit: 3.8
! Crystal system: cubic
! Energy above the most stable polymorph in this dataset in meV per atom: 0.0
! ρ in Mg/m³: 15.27
&SYSTEM
  ibrav = 0, nat = 3, ntyp = 3
/
ATOMIC_SPECIES
Pu 244.00 Pu.upf
Re 186.21 Re.upf
Hg 200.59 Hg.upf
ATOMIC_POSITIONS angstrom
Pu 0.000 0.000 0.000
Re 1.625 1.625 1.625
Hg 3.249 3.249 3.249
CELL_PARAMETERS angstrom
0.000 3.249 3.249
3.249 0.000 3.249
3.249 3.249 0.000

---

No. 3
! CsKReSe2S PBE-GGA relaxed; values from VASP
! Total moment in μB per formula unit: 0.6
! Crystal system: triclinic
! ρ in Mg/m³: 4.43
&SYSTEM
  ibrav = 0, nat = 12, ntyp = 5
/
ATOMIC_SPECIES
Cs 132.91 Cs.upf
K 39.10 K.upf
Re 186.21 Re.upf
Se 78.96 Se.upf
S 32.06 S.upf
ATOMIC_POSITIONS angstrom
Cs 3.419 3.055 1.499
Cs 10.555 4.746 6.540
K 6.905 6.045 2.936
K 7.069 1.756 5.103
Re 6.956 7.294 6.781
Re 7.018 0.507 1.258
Se 3.550 1.556 4.906
Se 7.016 4.997 6.125
Se 6.958 2.804 1.914
Se 10.424 6.245 3.133
S 1.817 0.043 0.107
S 12.157 7.758 7.932
CELL_PARAMETERS angstrom
7.103 0.000 0.000
3.492 7.193 0.000
3.379 0.608 8.039

---

No. 4
! LiAg2Te2 PBE-GGA relaxed; values from VASP
! Crystal system: tetragonal
! ρ in Mg/m³: 6.22
&SYSTEM
  ibrav = 0, nat = 5, ntyp = 3
/
ATOMIC_SPECIES
Li 6.94 Li.upf
Ag 107.87 Ag.upf
Te 127.60 Te.upf
ATOMIC_POSITIONS angstrom
Li 0.000 0.000 0.000
Ag 2.087 0.000 3.664
Ag 0.000 2.087 3.664
Te 0.000 0.000 5.663
Te 0.000 0.000 8.991
CELL_PARAMETERS angstrom
-2.087 2.087 7.327
2.087 -2.087 7.327
2.087 2.087 -7.327

---

No. 5
! BeCuAgPb PBE-GGA relaxed; values from VASP
! Crystal system: cubic
! Energy above the most stable polymorph in this dataset in meV per atom: 0.0
! ρ in Mg/m³: 9.45
&SYSTEM
  ibrav = 0, nat = 4, ntyp = 4
/
ATOMIC_SPECIES
Be 9.01 Be.upf
Cu 63.55 Cu.upf
Ag 107.87 Ag.upf
Pb 207.20 Pb.upf
ATOMIC_POSITIONS angstrom
Be 0.000 0.000 0.000
Cu 3.241 3.241 3.241
Ag 4.862 4.862 4.862
Pb 1.621 1.621 1.621
CELL_PARAMETERS angstrom
0.000 3.241 3.241
3.241 0.000 3.241
3.241 3.241 0.000

---

No. 6
! KB2Ir2 PBE-GGA relaxed; values from VASP
! Total moment in μB per formula unit: 0.0
! Crystal system: orthorhombic
! ρ in Mg/m³: 9.57
&SYSTEM
  ibrav = 0, nat = 10, ntyp = 3
/
ATOMIC_SPECIES
K 39.10 K.upf
B 10.81 B.upf
Ir 192.22 Ir.upf
ATOMIC_POSITIONS angstrom
K 0.770 1.183 1.324
K 5.391 8.279 9.271
B 2.311 1.917 3.973
B 3.851 4.282 6.622
B 2.311 5.179 3.973
B 3.851 7.545 6.622
Ir 2.311 3.548 2.572
Ir 3.851 5.913 5.221
Ir 2.311 3.548 5.375
Ir 3.851 5.913 8.023
CELL_PARAMETERS angstrom
0.000 4.731 5.298
3.081 0.000 5.298
3.081 4.731 0.000

---

No. 7
! RbTlPd PBE-GGA relaxed; values from VASP
! Crystal system: cubic
! Energy above the most stable polymorph in this dataset in meV per atom: 0.0
! ρ in Mg/m³: 6.75
&SYSTEM
  ibrav = 0, nat = 3, ntyp = 3
/
ATOMIC_SPECIES
Rb 85.47 Rb.upf
Tl 204.38 Tl.upf
Pd 106.42 Pd.upf
ATOMIC_POSITIONS angstrom
Rb 0.000 0.000 0.000
Tl 3.654 3.654 3.654
Pd 1.827 1.827 1.827
CELL_PARAMETERS angstrom
0.000 3.654 3.654
3.654 0.000 3.654
3.654 3.654 0.000

---

No. 8
! Nd2Sm2CBr3Cl2 PBE-GGA relaxed; values from VASP
! Total moment in μB per formula unit: 0.3
! Crystal system: monoclinic
! Energy above the most stable polymorph in this dataset in meV per atom: 0.5
! ρ in Mg/m³: 5.35
&SYSTEM
  ibrav = 0, nat = 10, ntyp = 5
/
ATOMIC_SPECIES
Nd 144.24 Nd.upf
Sm 150.36 Sm.upf
C 12.01 C.upf
Br 79.90 Br.upf
Cl 35.45 Cl.upf
ATOMIC_POSITIONS angstrom
Nd 2.423 0.000 0.679
Nd 13.615 0.000 7.305
Sm 7.383 0.000 6.337
Sm 8.654 0.000 1.647
C 0.000 0.000 0.000
Br -1.063 0.000 3.992
Br 5.657 0.000 1.382
Br 10.381 0.000 6.602
Cl 4.776 0.000 5.268
Cl 11.262 0.000 2.716
CELL_PARAMETERS angstrom
9.082 -1.950 0.000
9.082 1.950 0.000
-2.126 0.000 7.984

---

No. 9
! DyErTe2F2 PBE-GGA relaxed; values from VASP
! Total moment in μB per formula unit: 0.0
! Crystal system: tetragonal
! ρ in Mg/m³: 8.79
&SYSTEM
  ibrav = 0, nat = 6, ntyp = 4
/
ATOMIC_SPECIES
Dy 162.50 Dy.upf
Er 167.26 Er.upf
Te 127.60 Te.upf
F 19.00 F.upf
ATOMIC_POSITIONS angstrom
Dy 0.000 0.000 0.000
Er 1.999 1.999 4.450
Te 0.000 0.000 3.259
Te 1.999 1.999 1.212
F 0.000 1.999 5.900
F 1.999 0.000 5.900
CELL_PARAMETERS angstrom
3.998 0.000 0.000
0.000 3.998 0.000
0.000 0.000 7.366

---

No. 10
! TbTm2Cd3In3 PBE-GGA relaxed; values from VASP
! Total moment in μB per formula unit: 0.0
! Crystal system: orthorhombic
! ρ in Mg/m³: 8.80
&SYSTEM
  ibrav = 0, nat = 9, ntyp = 4
/
ATOMIC_SPECIES
Tb 158.93 Tb.upf
Tm 168.93 Tm.upf
Cd 112.41 Cd.upf
In 114.82 In.upf
ATOMIC_POSITIONS angstrom
Tb 0.000 0.000 0.000
Tm 0.000 -2.822 2.590
Tm 0.000 2.822 2.590
Cd 2.304 0.000 2.372
Cd 2.304 -1.593 5.123
Cd 2.304 1.593 5.123
In 0.000 0.000 4.188
In 2.304 -4.305 4.210
In 2.304 4.305 4.210
CELL_PARAMETERS angstrom
4.608 0.000 0.000
0.000 6.483 3.721
0.000 -6.483 3.721

---

No. 11
! Ag2PbS2 PBE-GGA relaxed; values from VASP
! Crystal system: trigonal
! Energy above the most stable polymorph in this dataset in meV per atom: 0.0
! ρ in Mg/m³: 7.10
&SYSTEM
  ibrav = 0, nat = 5, ntyp = 3
/
ATOMIC_SPECIES
Ag 107.87 Ag.upf
Pb 207.20 Pb.upf
S 32.06 S.upf
ATOMIC_POSITIONS angstrom
Ag 0.000 2.486 0.900
Ag 2.153 1.243 6.189
Pb 0.000 0.000 3.545
S 0.000 2.486 5.257
S 2.153 1.243 1.833
CELL_PARAMETERS angstrom
4.306 0.000 0.000
-2.153 3.729 0.000
0.000 0.000 7.089

---

No. 12
! TaGaO3 PBE-GGA relaxed; values from VASP
! Total moment in μB per formula unit: 0.0
! Crystal system: orthorhombic
! ρ in Mg/m³: 7.52
&SYSTEM
  ibrav = 0, nat = 20, ntyp = 3
/
ATOMIC_SPECIES
Ta 180.95 Ta.upf
Ga 69.72 Ga.upf
O 16.00 O.upf
ATOMIC_POSITIONS angstrom
Ta 0.049 1.599 0.439
Ta 3.016 4.797 3.803
Ta 3.114 1.599 2.926
Ta 6.081 4.797 6.291
Ga 0.000 0.000 3.365
Ga 0.000 3.198 3.365
Ga 3.065 0.000 0.000
Ga 3.065 3.198 0.000
O 0.493 3.555 1.019
O 0.493 6.040 1.019
O 1.500 4.797 5.298
O 1.565 1.599 1.934
O 2.572 0.356 4.383
O 2.572 2.842 4.383
O 3.558 3.555 2.346
O 3.558 6.040 2.346
O 4.565 4.797 4.796
O 4.630 1.599 1.431
O 5.637 0.356 5.711
O 5.637 2.842 5.711
CELL_PARAMETERS angstrom
6.130 0.000 0.000
0.000 6.396 0.000
0.000 0.000 6.729

---

No. 13
! BaCuBiPt PBE-GGA relaxed; values from VASP
! Total moment in μB per formula unit: 0.0
! Crystal system: cubic
! Energy above the most stable polymorph in this dataset in meV per atom: 159.3
! ρ in Mg/m³: 10.34
&SYSTEM
  ibrav = 0, nat = 4, ntyp = 4
/
ATOMIC_SPECIES
Ba 137.33 Ba.upf
Cu 63.55 Cu.upf
Bi 208.98 Bi.upf
Pt 195.08 Pt.upf
ATOMIC_POSITIONS angstrom
Ba 0.000 0.000 0.000
Cu 1.824 1.824 1.824
Bi 5.473 5.473 5.473
Pt 3.648 3.648 3.648
CELL_PARAMETERS angstrom
0.000 3.648 3.648
3.648 0.000 3.648
3.648 3.648 0.000

---

No. 14
! BeAlFeBi PBE-GGA relaxed; values from VASP
! Total moment in μB per formula unit: 1.5
! Crystal system: cubic
! Energy above the most stable polymorph in this dataset in meV per atom: 0.0
! ρ in Mg/m³: 7.73
&SYSTEM
  ibrav = 0, nat = 4, ntyp = 4
/
ATOMIC_SPECIES
Be 9.01 Be.upf
Al 26.98 Al.upf
Fe 55.84 Fe.upf
Bi 208.98 Bi.upf
ATOMIC_POSITIONS angstrom
Be 0.000 0.000 0.000
Al 4.778 4.778 4.778
Fe 3.186 3.186 3.186
Bi 1.593 1.593 1.593
CELL_PARAMETERS angstrom
0.000 3.186 3.186
3.186 0.000 3.186
3.186 3.186 0.000

---

No. 15
! YBeAsOs PBE-GGA relaxed; values from VASP
! Total moment in μB per formula unit: 0.0
! Crystal system: cubic
! Energy above the most stable polymorph in this dataset in meV per atom: 338.8
! ρ in Mg/m³: 9.11
&SYSTEM
  ibrav = 0, nat = 4, ntyp = 4
/
ATOMIC_SPECIES
Y 88.91 Y.upf
Be 9.01 Be.upf
As 74.92 As.upf
Os 190.23 Os.upf
ATOMIC_POSITIONS angstrom
Y 0.000 0.000 0.000
Be 4.816 4.816 4.816
As 3.211 3.211 3.211
Os 1.605 1.605 1.605
CELL_PARAMETERS angstrom
0.000 3.211 3.211
3.211 0.000 3.211
3.211 3.211 0.000

---

No. 16
! NbB PBE-GGA relaxed; values from VASP
! Total moment in μB per formula unit: 0.0
! Crystal system: orthorhombic
! ρ in Mg/m³: 7.47
&SYSTEM
  ibrav = 0, nat = 4, ntyp = 2
/
ATOMIC_SPECIES
Nb 92.91 Nb.upf
B 10.81 B.upf
ATOMIC_POSITIONS angstrom
Nb 1.655 3.110 2.384
Nb 1.655 -3.110 0.795
B 1.655 0.516 2.384
B 1.655 -0.516 0.795
CELL_PARAMETERS angstrom
1.655 -4.384 0.000
1.655 4.384 0.000
0.000 0.000 3.179

---

No. 17
! ThMg PBE-GGA relaxed; values from VASP
! Total moment in μB per formula unit: 0.5
! Crystal system: cubic
! ρ in Mg/m³: 4.87
&SYSTEM
  ibrav = 0, nat = 2, ntyp = 2
/
ATOMIC_SPECIES
Th 232.04 Th.upf
Mg 24.30 Mg.upf
ATOMIC_POSITIONS angstrom
Th 0.000 0.000 0.000
Mg 1.761 1.761 1.761
CELL_PARAMETERS angstrom
0.000 3.522 3.522
3.522 0.000 3.522
3.522 3.522 0.000

---

No. 18
! ScNiHgSb PBE-GGA relaxed; values from VASP
! Total moment in μB per formula unit: 0.0
! Crystal system: cubic
! Energy above the most stable polymorph in this dataset in meV per atom: 0.0
! ρ in Mg/m³: 9.19
&SYSTEM
  ibrav = 0, nat = 4, ntyp = 4
/
ATOMIC_SPECIES
Sc 44.96 Sc.upf
Ni 58.69 Ni.upf
Hg 200.59 Hg.upf
Sb 121.76 Sb.upf
ATOMIC_POSITIONS angstrom
Sc 0.000 0.000 0.000
Ni 3.376 3.376 3.376
Hg 5.064 5.064 5.064
Sb 1.688 1.688 1.688
CELL_PARAMETERS angstrom
0.000 3.376 3.376
3.376 0.000 3.376
3.376 3.376 0.000

---

No. 19
! NbZnNiPd PBE-GGA relaxed; values from VASP
! Total moment in μB per formula unit: 0.1
! Crystal system: cubic
! Energy above the most stable polymorph in this dataset in meV per atom: 0.0
! ρ in Mg/m³: 9.18
&SYSTEM
  ibrav = 0, nat = 4, ntyp = 4
/
ATOMIC_SPECIES
Nb 92.91 Nb.upf
Zn 65.41 Zn.upf
Ni 58.69 Ni.upf
Pd 106.42 Pd.upf
ATOMIC_POSITIONS angstrom
Nb 0.000 0.000 0.000
Zn 3.082 3.082 3.082
Ni 4.622 4.622 4.622
Pd 1.541 1.541 1.541
CELL_PARAMETERS angstrom
0.000 3.082 3.082
3.082 0.000 3.082
3.082 3.082 0.000

---

No. 20
! LiTlNi2 PBE-GGA relaxed; values from VASP
! Total moment in μB per formula unit: 0.0
! Crystal system: cubic
! ρ in Mg/m³: 9.88
&SYSTEM
  ibrav = 0, nat = 4, ntyp = 3
/
ATOMIC_SPECIES
Li 6.94 Li.upf
Tl 204.38 Tl.upf
Ni 58.69 Ni.upf
ATOMIC_POSITIONS angstrom
Li 0.000 0.000 0.000
Tl 4.535 4.535 4.535
Ni 1.512 1.512 1.512
Ni 3.023 3.023 3.023
CELL_PARAMETERS angstrom
0.000 3.023 3.023
3.023 0.000 3.023
3.023 3.023 0.000

---

No. 21
! RbZn PBE-GGA relaxed; values from VASP
! Crystal system: hexagonal
! ρ in Mg/m³: 2.84
&SYSTEM
  ibrav = 0, nat = 2, ntyp = 2
/
ATOMIC_SPECIES
Rb 85.47 Rb.upf
Zn 65.41 Zn.upf
ATOMIC_POSITIONS angstrom
Rb 0.000 0.000 0.000
Zn 2.162 1.248 2.723
CELL_PARAMETERS angstrom
4.324 0.000 0.000
-2.162 3.745 0.000
0.000 0.000 5.445

---

No. 22
! ZrBeCdNi PBE-GGA relaxed; values from VASP
! Total moment in μB per formula unit: 0.0
! Crystal system: cubic
! Energy above the most stable polymorph in this dataset in meV per atom: 0.0
! ρ in Mg/m³: 7.45
&SYSTEM
  ibrav = 0, nat = 4, ntyp = 4
/
ATOMIC_SPECIES
Zr 91.22 Zr.upf
Be 9.01 Be.upf
Cd 112.41 Cd.upf
Ni 58.69 Ni.upf
ATOMIC_POSITIONS angstrom
Zr 0.000 0.000 0.000
Be 1.558 1.558 1.558
Cd 3.116 3.116 3.116
Ni 4.674 4.674 4.674
CELL_PARAMETERS angstrom
0.000 3.116 3.116
3.116 0.000 3.116
3.116 3.116 0.000

---

No. 23
! AgTePtO PBE-GGA relaxed; values from VASP
! Total moment in μB per formula unit: 0.0
! Crystal system: orthorhombic
! Energy above the most stable polymorph in this dataset in meV per atom: 61.2
! ρ in Mg/m³: 10.36
&SYSTEM
  ibrav = 0, nat = 16, ntyp = 4
/
ATOMIC_SPECIES
Ag 107.87 Ag.upf
Te 127.60 Te.upf
Pt 195.08 Pt.upf
O 16.00 O.upf
ATOMIC_POSITIONS angstrom
Ag 1.141 0.150 0.000
Ag 1.760 0.150 2.982
Ag 4.041 8.127 0.000
Ag 4.661 8.127 2.982
Te 0.561 2.996 0.766
Te 2.340 2.996 3.748
Te 3.462 5.281 0.766
Te 5.241 5.281 3.748
Pt 0.061 6.022 1.372
Pt 2.840 6.022 4.355
Pt 2.962 2.255 1.372
Pt 5.741 2.255 4.355
O 0.698 6.168 5.057
O 2.203 6.168 2.075
O 3.599 2.109 5.057
O 5.104 2.109 2.075
CELL_PARAMETERS angstrom
5.802 0.000 0.000
0.000 8.277 0.000
0.000 0.000 5.964

---

No. 24
! GdY2Al3Si2Pd PBE-GGA relaxed; values from VASP
! Total moment in μB per formula unit: 0.0
! Crystal system: orthorhombic
! ρ in Mg/m³: 5.45
&SYSTEM
  ibrav = 0, nat = 9, ntyp = 5
/
ATOMIC_SPECIES
Gd 157.25 Gd.upf
Y 88.91 Y.upf
Al 26.98 Al.upf
Si 28.09 Si.upf
Pd 106.42 Pd.upf
ATOMIC_POSITIONS angstrom
Gd 0.000 0.000 0.000
Y 0.000 -2.504 4.331
Y 0.000 2.504 4.331
Al 2.130 -1.428 2.068
Al 2.130 1.428 2.068
Al 2.130 0.000 4.533
Si 2.130 -3.980 2.885
Si 2.130 3.980 2.885
Pd 0.000 0.000 2.899
CELL_PARAMETERS angstrom
4.261 0.000 0.000
0.000 5.987 3.456
0.000 -5.987 3.456

---

No. 25
! ScAgSnPd PBE-GGA relaxed; values from VASP
! Total moment in μB per formula unit: 0.0
! Crystal system: cubic
! Energy above the most stable polymorph in this dataset in meV per atom: 0.0
! ρ in Mg/m³: 8.42
&SYSTEM
  ibrav = 0, nat = 4, ntyp = 4
/
ATOMIC_SPECIES
Sc 44.96 Sc.upf
Ag 107.87 Ag.upf
Sn 118.71 Sn.upf
Pd 106.42 Pd.upf
ATOMIC_POSITIONS angstrom
Sc 0.000 0.000 0.000
Ag 1.670 1.670 1.670
Sn 3.340 3.340 3.340
Pd 5.010 5.010 5.010
CELL_PARAMETERS angstrom
0.000 3.340 3.340
3.340 0.000 3.340
3.340 3.340 0.000

---

No. 26
! TcPIrO PBE-GGA relaxed; values from VASP
! Total moment in μB per formula unit: 0.0
! Crystal system: tetragonal
! Energy above the most stable polymorph in this dataset in meV per atom: 363.3
! ρ in Mg/m³: 11.26
&SYSTEM
  ibrav = 0, nat = 8, ntyp = 4
/
ATOMIC_SPECIES
Tc 98.00 Tc.upf
P 30.97 P.upf
Ir 192.22 Ir.upf
O 16.00 O.upf
ATOMIC_POSITIONS angstrom
Tc 1.046 3.139 0.000
Tc 3.139 1.046 0.000
P 1.046 1.046 1.108
P 3.139 3.139 4.568
Ir 1.046 1.046 3.529
Ir 3.139 3.139 2.147
O 1.046 3.139 2.838
O 3.139 1.046 2.838
CELL_PARAMETERS angstrom
4.185 0.000 0.000
0.000 4.185 0.000
0.000 0.000 5.676

---

No. 27
! SnAsW PBE-GGA relaxed; values from VASP
! Total moment in μB per formula unit: 1.1
! Crystal system: cubic
! Energy above the most stable polymorph in this dataset in meV per atom: 0.0
! ρ in Mg/m³: 9.51
&SYSTEM
  ibrav = 0, nat = 3, ntyp = 3
/
ATOMIC_SPECIES
Sn 118.71 Sn.upf
As 74.92 As.upf
W 183.84 W.upf
ATOMIC_POSITIONS angstrom
Sn 0.000 0.000 0.000
As 3.206 3.206 3.206
W 4.810 4.810 4.810
CELL_PARAMETERS angstrom
0.000 3.206 3.206
3.206 0.000 3.206
3.206 3.206 0.000

---

no.,DFT total energy (eV/atom),calculated volume (A^3/atom)
1,-3.5192,31.27
2,-8.2648,22.87
3,-4.9402,34.23
4,-2.9921,25.53
5,-3.0469,17.02
6,-6.6253,15.44
7,-2.7403,32.51
8,-5.2322,28.28
9,-5.6991,19.62
10,-3.1000,24.70
11,-3.7415,22.77
12,-7.7997,13.19
13,-3.9183,24.28
14,-4.3277,16.16
15,-6.2930,16.55
16,-9.1594,11.53
17,-2.7404,43.70
18,-4.2903,19.24
19,-5.7515,14.63
20,-3.8016,13.82
21,-0.7837,44.09
22,-4.8297,15.13
23,-4.3896,17.90
24,-5.7810,19.59
25,-5.1773,18.63
26,-7.4351,12.43
27,-6.4551,21.98